1.
A plane-wave DFT calculation with PBE-GGA was carried out for a relaxed structure of AgHg2Br.

Unit cell a=5.3234 b=5.3234 c=5.3234 alpha=60.00 beta=60.00 gamma=60.00
Last column: nearest neighbours and their distance in Å.
Atoms (fractional coordinates):
Ag (0.0000, 0.0000, 0.0000)  8 Hg 3.26
Hg (0.2500, 0.2500, 0.2500)  4 Br 3.26, 4 Ag 3.26
Hg (0.7500, 0.7500, 0.7500)  4 Br 3.26, 4 Ag 3.26
Br (0.5000, 0.5000, 0.5000)  8 Hg 3.26

Results
Energy above the most stable polymorph in this dataset = 333 meV/atom
Energy relative to the elements, uncorrected = 0.19 eV per atom
SG = No. 225

***

2.
A plane-wave DFT calculation with PBE-GGA was carried out for a relaxed structure of TlAgPd.

Unit cell a=5.6724 b=5.6724 c=5.6724 alpha=131.26 beta=116.64 gamma=83.80
Last column: nearest neighbours and their distance in Å.
Atoms (fractional coordinates):
Tl (0.2477, 0.0000, 0.2477)  2 Tl 2.95-3.01, 6 Pd 3.09-3.22, 6 Ag 3.12-3.18
Tl (0.7523, 0.0000, 0.7523)  2 Tl 2.95-3.01, 6 Pd 3.09-3.22, 6 Ag 3.12-3.18
Ag (0.3338, 0.3338, 0.0000)  4 Pd 2.75-2.98, 1 Ag 2.81
Ag (0.6662, 0.6662, 0.0000)  4 Pd 2.75-2.98, 1 Ag 2.81
Pd (0.1634, 0.6634, 0.5000)  4 Ag 2.75-2.98, 1 Pd 2.76
Pd (0.8366, 0.3366, 0.5000)  4 Ag 2.75-2.98, 1 Pd 2.76

Results
Formation enthalpy at 0 K = 0.096 eV per atom
Energy above the most stable polymorph in this dataset = 146 meV/atom
SG = No. 71

***

3.
A plane-wave DFT calculation with PBE-GGA was carried out for a relaxed structure of Ta2CdFePd.

Unit cell a=4.4952 b=4.4952 c=4.8235 alpha=90.00 beta=90.00 gamma=90.00
Last column: nearest neighbours and their distance in Å.
Atoms (fractional coordinates):
Ta (0.0000, 0.5000, 0.0000)  2 Fe 2.25
Ta (0.5000, 0.0000, 0.0000)  2 Fe 2.25
Cd (0.0000, 0.0000, 0.5000)  2 Fe 2.41
Fe (0.0000, 0.0000, 0.0000)  4 Ta 2.25, 2 Cd 2.41
Pd (0.5000, 0.5000, 0.5000)  4 Cd 3.18, 8 Ta 3.30

Results
Formation enthalpy at 0 K = 0.737 eV per atom
SG = No. 123

***

no.,VASP energy (eV per atom),total magnetic moment (μB per atom)
1,-1.09,0.00
2,-3.37,0.00
3,-6.92,0.00